(1)
Computed, not measured: a relaxed Rb3FeCu2Cl9 crystal at the PBE-GGA level of DFT.

The space group is P-3m1 (No. 164) and the conventional cell measures 6.9998, 6.9998 and 8.5740 Å, with angles of 90.00, 90.00 and 120.00 degrees. The asymmetric unit holds Rb at (0.0000, 0.0000, 0.0000), Rb at (0.3333, 0.6667, 0.6715), Fe at (0.0000, 0.0000, 0.5000), Cu at (0.3333, 0.6667, 0.1550), Cl at (0.0000, 0.5000, 0.0000) and Cl at (0.1638, 0.3276, 0.3374).

The value obtained for the final energy is -3.57 eV/atom. The total magnetization is 0.238 μB per atom. As for the formation energy without anion corrections: -26.66 kcal/mol of atoms.

---

(2)
Computed, not measured: a relaxed Sr5Te4Br crystal at the PBE-GGA level of DFT.

The space group is I4/m (No. 87) and the conventional cell measures 10.506, 10.506 and 6.633 Å, with angles of 90.00, 90.00 and 90.00 degrees. The asymmetric unit holds Sr at (0.000, 0.000, 0.000), Sr at (0.100, 0.306, 0.500), Te at (0.102, 0.297, 0.000) and Br at (0.000, 0.000, 0.500).

The value obtained for the final energy is -3.96 eV/atom. The total magnetization is 0.000 μB per atom. As for the formation energy without anion corrections: -39.02 kcal/mol of atoms.

---

(3)
Computed, not measured: a relaxed Mo2PAu crystal at the PBE-GGA level of DFT.

The space group is P4/mmm (No. 123) and the conventional cell measures 2.990, 2.990 and 6.808 Å, with angles of 90.00, 90.00 and 90.00 degrees. The asymmetric unit holds Mo at (0.000, 0.000, 0.204), P at (0.500, 0.500, 0.000) and Au at (0.500, 0.500, 0.500).

For the energy relative to the elements, the calculation gives -0.43 eV/f.u. The value obtained for the final energy is -7.69 eV/atom. The total magnetization is 0.000 μB per atom.

---

(4)
Computed, not measured: a relaxed ZrReSi crystal at the PBE-GGA level of DFT.

The space group is Fmm2 (No. 42) and the conventional cell measures 3.377, 4.758 and 12.399 Å, with angles of 90.00, 90.00 and 90.00 degrees. The asymmetric unit holds Zr at (0.000, 0.000, 0.000), Re at (0.000, 0.000, 0.318) and Si at (0.000, 0.000, 0.672).

The value obtained for the final energy is -8.89 eV/atom. The total magnetization is 0.000 μB per atom. As for the formation energy without anion corrections: -1.85 kcal/mol of atoms.

---

(5)
Computed, not measured: a relaxed NdPuCd4 crystal at the PBE-GGA level of DFT.

The space group is I-4m2 (No. 119) and the conventional cell measures 4.301, 4.301 and 18.258 Å, with angles of 90.00, 90.00 and 90.00 degrees. The asymmetric unit holds Nd at (0.000, 0.000, 0.000), Pu at (0.000, 0.500, 0.250), Cd at (0.000, 0.000, 0.422) and Cd at (0.000, 0.500, 0.672).

For the energy relative to the elements, the calculation gives -0.09 eV/f.u. The value obtained for the final energy is -3.81 eV/atom. The energy above the most stable polymorph in this dataset is 133.9 meV per atom. The total magnetization is 1.087 μB per atom.

---

(6)
Computed, not measured: a relaxed Zr2FeAs crystal at the PBE-GGA level of DFT.

The space group is Immm (No. 71) and the conventional cell measures 4.271, 4.389 and 7.576 Å, with angles of 90.00, 90.00 and 90.00 degrees. The asymmetric unit holds Zr at (0.000, 0.000, 0.249), Fe at (0.000, 0.500, 0.500) and As at (0.000, 0.500, 0.000).

For the energy relative to the elements, the calculation gives -1.51 eV/f.u. The value obtained for the final energy is -7.93 eV/atom. The total magnetization is 0.391 μB per atom.

---

(7)
Computed, not measured: a relaxed NbNi2Pt2 crystal at the PBE-GGA level of DFT.

The space group is P4/mbm (No. 127) and the conventional cell measures 7.186, 7.186 and 2.822 Å, with angles of 90.00, 90.00 and 90.00 degrees. The asymmetric unit holds Nb at (0.000, 0.000, 0.000), Ni at (0.163, 0.337, 0.500) and Pt at (0.135, 0.635, 0.000).

For the energy relative to the elements, the calculation gives -0.82 eV/f.u. The value obtained for the final energy is -6.91 eV/atom. The energy above the most stable polymorph in this dataset is 246.0 meV per atom. The total magnetization is 0.000 μB per atom.

---

(8)
Computed, not measured: a relaxed V2CoNiH crystal at the PBE-GGA level of DFT.

The space group is P4/mmm (No. 123) and the conventional cell measures 3.666, 3.666 and 3.613 Å, with angles of 90.00, 90.00 and 90.00 degrees. The asymmetric unit holds V at (0.000, 0.500, 0.000), Co at (0.000, 0.000, 0.500), Ni at (0.500, 0.500, 0.500) and H at (0.000, 0.000, 0.000).

The value obtained for the final energy is -7.04 eV/atom. The energy above the most stable polymorph in this dataset is 0.0 meV per atom. The total magnetization is 0.000 μB per atom.

---

(9)
Computed, not measured: a relaxed AlCuPd14 crystal at the PBE-GGA level of DFT.

The space group is Amm2 (No. 38) and the conventional cell measures 9.079, 5.600 and 9.544 Å, with angles of 90.00, 90.00 and 90.00 degrees. The asymmetric unit holds Al at (0.000, 0.000, 0.000), Cu at (0.000, 0.000, 0.500), Pd at (0.000, 0.249, 0.255), Pd at (0.238, 0.248, 0.075), Pd at (0.248, 0.000, 0.828), Pd at (0.249, 0.000, 0.329), Pd at (0.500, 0.000, 0.157), Pd at (0.500, 0.000, 0.656) and Pd at (0.500, 0.250, 0.408).

For the energy relative to the elements, the calculation gives -2.49 eV/f.u. The value obtained for the final energy is -5.19 eV/atom. The total magnetization is 0.000 μB per atom.

---

(10)
Computed, not measured: a relaxed RbFe2PdAu crystal at the PBE-GGA level of DFT.

The space group is P4/mmm (No. 123) and the conventional cell measures 4.879, 4.879 and 6.060 Å, with angles of 90.00, 90.00 and 90.00 degrees. The asymmetric unit holds Rb at (0.000, 0.000, 0.000), Fe at (0.000, 0.500, 0.500), Pd at (0.500, 0.500, 0.000) and Au at (0.000, 0.000, 0.500).

For the energy relative to the elements, the calculation gives 6.24 eV/f.u. The value obtained for the final energy is -4.03 eV/atom. The total magnetization is 1.354 μB per atom.

---

(11)
Computed, not measured: a relaxed La3Sm5Bi8 crystal at the PBE-GGA level of DFT.

The space group is R-3m (No. 166, hexagonal axes) and the conventional cell measures 9.2298, 9.2298 and 22.5991 Å, with angles of 90.00, 90.00 and 120.00 degrees. The asymmetric unit holds La at (0.0000, 0.5000, 0.0000), Sm at (0.0000, 0.0000, 0.0000), Sm at (0.0000, 0.0000, 0.5000), Sm at (0.0000, 0.5000, 0.5000), Bi at (0.0000, 0.0000, 0.2475) and Bi at (0.0033, 0.5016, 0.7516).

For the energy relative to the elements, the calculation gives -15.56 eV/f.u. The value obtained for the final energy is -5.31 eV/atom. The total magnetization is 0.000 μB per atom.

---

(12)
Computed, not measured: a relaxed DyHo2Tm9 crystal at the PBE-GGA level of DFT.

The space group is P6/mmm (No. 191) and the conventional cell measures 11.0379, 11.0379 and 3.4540 Å, with angles of 90.00, 90.00 and 120.00 degrees. The asymmetric unit holds Dy at (0.0000, 0.0000, 0.0000), Ho at (0.3333, 0.6667, 0.0000), Tm at (0.0000, 0.5000, 0.0000) and Tm at (0.1770, 0.3540, 0.5000).

For the energy relative to the elements, the calculation gives 0.68 eV/f.u. The value obtained for the final energy is -4.44 eV/atom. The energy above the most stable polymorph in this dataset is 30.3 meV per atom. The total magnetization is 0.000 μB per atom.